Compound: TmZrNiPt
Source: the Alexandria database
Functional: PBE-GGA
Structure: relaxed

It has space group F-43m (No. 216), with a = 6.689 Å, b = 6.689 Å, c = 6.689 Å, α = 90.00°, β = 90.00° and γ = 90.00°. Symmetry generates all atoms from Tm at (0.000, 0.000, 0.000), Zr at (0.000, 0.000, 0.500), Ni at (0.250, 0.250, 0.250) and Pt at (0.250, 0.250, 0.750).

The calculation puts the energy at -0.255 hartree per atom. As for the total magnetic moment: 0.0 μB/f.u. Its mass density is 11.407 g cm⁻³.

---

Compound: CaLaMg2Co
Source: the Alexandria database
Functional: PBE-GGA
Structure: relaxed

It has space group P4/mmm (No. 123), with a = 5.230 Å, b = 5.230 Å, c = 4.951 Å, α = 90.00°, β = 90.00° and γ = 90.00°. Symmetry generates all atoms from Ca at (0.000, 0.000, 0.000), La at (0.500, 0.500, 0.000), Mg at (0.000, 0.500, 0.500) and Co at (0.500, 0.500, 0.500).

The calculation puts the energy at -0.129 hartree per atom. As for the total magnetic moment: 0.0 μB/f.u. Its mass density is 3.514 g cm⁻³.

---

Compound: NiPtAu2
Source: the Alexandria database
Functional: PBE-GGA
Structure: relaxed

It has space group Immm (No. 71), with a = 2.866 Å, b = 4.709 Å, c = 9.398 Å, α = 90.00°, β = 90.00° and γ = 90.00°. Symmetry generates all atoms from Ni at (0.000, 0.000, 0.000), Pt at (0.000, 0.000, 0.500) and Au at (0.000, 0.500, 0.265).

The calculation puts the energy at -0.164 hartree per atom. As for the total magnetic moment: 0.4 μB/f.u. The calculation puts the offset from the most stable computed form at 10.1 kJ/mol of atoms. Its mass density is 16.961 g cm⁻³.